Compound: AcNd2Dy6
Source: the Alexandria database
Functional: PBE
Structure: optimized geometry

a b c (Å): 3.6451 3.6451 26.7626
angles (deg): 90.00 90.00 120.00
Space group P-6m2 (No. 187)
One atom of each set of equivalent atoms:
Ac  0.0000  0.0000  0.0000 [1 per cell]
Nd  0.3333  0.6667  0.3315 [2 per cell]
Dy  0.0000  0.0000  0.2195 [2 per cell]
Dy  0.0000  0.0000  0.4376 [2 per cell]
Dy  0.3333  0.6667  0.1162 [2 per cell]

Properties
Energy relative to the elements   75 kJ/mol of formula units
DOS at the Fermi energy   15.78 states/eV/f.u.